# Y2Cd2Ge3, optimized geometry, DFT GGA-PBE
# VASP energy ... -4.368 eV per atom
# Calculated density ... 6.35 g/cm³
data_Y2Cd2Ge3
_space_group_name_H-M_alt 'P 1'
_space_group_IT_number 1
_space_group_name_Hall 'P 1'
_cell_length_a 8.812
_cell_length_b 8.812
_cell_length_c 8.812
_cell_angle_alpha 31.13
_cell_angle_beta 31.13
_cell_angle_gamma 31.13
loop_
_atom_site_label
_atom_site_fract_x
_atom_site_fract_y
_atom_site_fract_z
Cd1 0.004 0.004 0.004
Cd2 0.499 0.499 0.499
Ge1 0.385 0.385 0.385
Ge2 0.626 0.626 0.626
Ge3 0.862 0.862 0.862
Y1 0.251 0.251 0.251
Y2 0.748 0.748 0.748

---

# LiMgCuPb, optimized geometry, DFT GGA-PBE
# E above lowest polymorph ... 61.0 meV/atom
# VASP energy ... -2.761 eV per atom
# Calculated density ... 6.75 g/cm³
data_LiMgCuPb
_space_group_name_H-M_alt 'P 1'
_space_group_IT_number 1
_space_group_name_Hall 'P 1'
_cell_length_a 4.718
_cell_length_b 4.718
_cell_length_c 4.718
_cell_angle_alpha 60.00
_cell_angle_beta 60.00
_cell_angle_gamma 60.00
loop_
_atom_site_label
_atom_site_fract_x
_atom_site_fract_y
_atom_site_fract_z
Cu1 0.500 0.500 0.500
Li1 0.750 0.750 0.750
Mg1 0.250 0.250 0.250
Pb1 0.000 0.000 0.000

---

# NbCoIr, optimized geometry, DFT GGA-PBE
# Energy of formation ... 0.152 eV/atom
# VASP energy ... -8.533 eV per atom
# Calculated density ... 11.89 g/cm³
data_NbCoIr
_space_group_name_H-M_alt 'P 1'
_space_group_IT_number 1
_space_group_name_Hall 'P 1'
_cell_length_a 4.080
_cell_length_b 4.080
_cell_length_c 4.080
_cell_angle_alpha 60.00
_cell_angle_beta 60.00
_cell_angle_gamma 60.00
loop_
_atom_site_label
_atom_site_fract_x
_atom_site_fract_y
_atom_site_fract_z
Co1 0.000 0.000 0.000
Ir1 0.250 0.250 0.250
Nb1 0.750 0.750 0.750